# 1
# Dy8ScHg2

Dy8ScHg2 after structural relaxation (PBE, Alexandria via LeMat-Bulk).

a b c (Å): 5.464 8.607 8.607
angles (deg): 118.92 100.56 100.56
Fractional coordinates of all 11 atoms:
Dy  0.894  0.907  0.681
Dy  0.894  0.681  0.907
Dy  0.302  0.609  0.609
Dy  0.500  0.781  0.219
Dy  0.500  0.219  0.781
Dy  0.698  0.391  0.391
Dy  0.106  0.319  0.093
Dy  0.106  0.093  0.319
Sc  0.500  0.000  0.000
Hg  0.000  0.305  0.695
Hg  0.000  0.695  0.305

- Space group: C2/m (12)
- Calculated formation energy: -4.7 kJ/mol of atoms
- DFT total energy: -44.290 eV per cell

***

# 2
# DySc2Hg2

DySc2Hg2 after structural relaxation (PBE, Alexandria via LeMat-Bulk).

a b c (Å): 3.607 5.075 13.219
angles (deg): 90.00 97.86 90.00
Fractional coordinates of all 10 atoms:
Dy  0.853  0.750  0.706
Dy  0.147  0.250  0.294
Sc  0.049  0.750  0.098
Sc  0.951  0.250  0.902
Sc  0.238  0.750  0.477
Sc  0.762  0.250  0.523
Hg  0.647  0.750  0.295
Hg  0.353  0.250  0.705
Hg  0.457  0.750  0.914
Hg  0.543  0.250  0.086

- Space group: Cmcm (63)
- ΔE to the lowest computed polymorph: 0.0 kJ/mol of formula units
- Calculated formation energy: -33.8 kJ/mol of atoms
- DFT total energy: -39.240 eV per cell

***

# 3
# Dy2ScHg5

Dy2ScHg5 after structural relaxation (PBE, Alexandria via LeMat-Bulk).

a b c (Å): 5.120 5.120 8.101
angles (deg): 108.42 108.42 90.00
Fractional coordinates of all 8 atoms:
Dy  0.739  0.739  0.477
Dy  0.261  0.261  0.523
Sc  0.000  0.000  0.000
Hg  0.500  0.500  0.000
Hg  0.880  0.380  0.760
Hg  0.380  0.880  0.760
Hg  0.120  0.620  0.240
Hg  0.620  0.120  0.240

- Space group: I4/mmm (139)
- Calculated formation energy: -35.0 kJ/mol of atoms
- DFT total energy: -19.943 eV per cell

***

# 4
# DyScHg2

DyScHg2 after structural relaxation (PBE, Alexandria via LeMat-Bulk).

a b c (Å): 5.127 5.127 5.127
angles (deg): 60.00 60.00 60.00
Fractional coordinates of all 4 atoms:
Sc  0.500  0.500  0.500
Hg  0.250  0.250  0.250
Hg  0.750  0.750  0.750
Dy  0.000  0.000  0.000

- Space group: Fm-3m (225)
- ΔE to the lowest computed polymorph: 1.3 kJ/mol of formula units
- Calculated formation energy: -43.1 kJ/mol of atoms
- DFT total energy: -13.325 eV per cell

***

no.,M_tot (μB per cell)
1,0.0
2,0.0
3,0.0
4,0.5